Record 1
This record from Alexandria describes a relaxed structure of CeErSc4. The functional is PBE-GGA. Values from VASP.

```
&SYSTEM
  ibrav = 0, nat = 12, ntyp = 3
/
ATOMIC_SPECIES
Ce 140.12 Ce.upf
Er 167.26 Er.upf
Sc 44.96 Sc.upf
ATOMIC_POSITIONS crystal
Ce 0.000 0.500 0.000
Ce 0.500 0.000 0.500
Er 0.075 0.925 0.750
Er 0.925 0.075 0.250
Sc 0.012 0.681 0.508
Sc 0.318 0.535 0.080
Sc 0.319 0.988 0.992
Sc 0.465 0.682 0.420
Sc 0.535 0.318 0.580
Sc 0.681 0.012 0.008
Sc 0.682 0.465 0.920
Sc 0.988 0.319 0.492
CELL_PARAMETERS angstrom
9.266 -2.994 0.000
9.266 2.994 0.000
-0.123 0.000 5.828
```

=====

Record 2
This record from Alexandria describes a relaxed structure of Dy4In2B. The functional is PBE-GGA. Values from VASP.

```
&SYSTEM
  ibrav = 0, nat = 7, ntyp = 3
/
ATOMIC_SPECIES
Dy 162.50 Dy.upf
In 114.82 In.upf
B 10.81 B.upf
ATOMIC_POSITIONS crystal
Dy 0.000 0.500 0.500
Dy 0.169 0.169 0.000
Dy 0.500 0.000 0.500
Dy 0.831 0.831 0.000
In 0.372 0.372 0.000
In 0.628 0.628 0.000
B 0.000 0.000 0.000
CELL_PARAMETERS angstrom
-2.516 2.516 7.640
2.516 -2.516 7.640
2.516 2.516 -7.640
```

=====

Record 3
This record from Alexandria describes a relaxed structure of YTlCu2. The functional is PBE-GGA. Values from VASP.

```
&SYSTEM
  ibrav = 0, nat = 4, ntyp = 3
/
ATOMIC_SPECIES
Y 88.91 Y.upf
Tl 204.38 Tl.upf
Cu 63.55 Cu.upf
ATOMIC_POSITIONS crystal
Y 0.000 0.000 0.000
Tl 0.750 0.250 0.500
Cu 0.250 0.750 0.500
Cu 0.500 0.500 0.000
CELL_PARAMETERS angstrom
-2.388 2.388 3.423
2.388 -2.388 3.423
2.388 2.388 -3.423
```

=====

Record 4
! PrCu4Ni2 | Alexandria | PBE-GGA | relaxed; values from VASP
&SYSTEM
  ibrav = 0, nat = 7, ntyp = 3
/
ATOMIC_SPECIES
Pr 140.91 Pr.upf
Cu 63.55 Cu.upf
Ni 58.69 Ni.upf
ATOMIC_POSITIONS crystal
Pr 0.000 0.000 0.000
Cu 0.269 0.500 0.769
Cu 0.500 0.269 0.769
Cu 0.500 0.731 0.231
Cu 0.731 0.500 0.231
Ni 0.250 0.750 0.500
Ni 0.750 0.250 0.500
CELL_PARAMETERS angstrom
-3.510 3.510 2.613
3.510 -3.510 2.613
3.510 3.510 -2.613
! - distance to the lowest polymorph of the same formula (meV per atom) = 491

=====

Record 5
! LiTc2Ni | Alexandria | PBE-GGA | relaxed; values from VASP
&SYSTEM
  ibrav = 0, nat = 4, ntyp = 3
/
ATOMIC_SPECIES
Li 6.94 Li.upf
Tc 98.00 Tc.upf
Ni 58.69 Ni.upf
ATOMIC_POSITIONS crystal
Li 0.000 0.000 0.000
Tc 0.244 0.244 0.244
Tc 0.756 0.756 0.756
Ni 0.500 0.500 0.500
CELL_PARAMETERS angstrom
1.327 0.766 9.030
-1.327 0.766 9.030
0.000 -1.532 9.030
! - distance to the lowest polymorph of the same formula (meV per atom) = 150

=====

Record 6
This record from Alexandria describes a relaxed structure of MnCrFe2. The functional is PBE-GGA. Values from VASP.

```
&SYSTEM
  ibrav = 0, nat = 4, ntyp = 3
/
ATOMIC_SPECIES
Mn 54.94 Mn.upf
Cr 52.00 Cr.upf
Fe 55.84 Fe.upf
ATOMIC_POSITIONS crystal
Mn 0.000 0.000 0.000
Cr 0.500 0.500 0.237
Fe 0.000 0.000 0.491
Fe 0.500 0.500 0.736
CELL_PARAMETERS angstrom
2.878 0.000 0.000
0.000 2.878 0.000
0.000 0.000 5.591
```

=====

For each record above, in turn, the calculated DOS at the Fermi energy values are 1.908, 0.944, 0.450, 0.717, 1.548, 0.588 states/eV per atom.
For each record above, in turn, the calculated V values are 323.35, 193.51, 78.06, 128.75, 55.04, 46.31 Å³/cell.
For each record above, in turn, the calculated DFT formation energy values are 0.20, -0.23, -0.02, 0.37, 0.26, 0.05 eV per atom.